(1)
Nb4AuC2: optimized geometry, PBE.

a = 3.303 Å, b = 5.706 Å, c = 11.461 Å
α = 90.00°, β = 90.00°, γ = 106.83°
Sites, in units of the cell vectors:
1 Nb 0.755 0.510 0.102
2 Nb 0.245 0.490 0.602
3 Au 0.390 0.780 0.250
4 Nb 0.755 0.510 0.398
5 Au 0.610 0.220 0.750
6 Nb 0.911 0.821 0.750
7 Nb 0.245 0.490 0.898
8 Nb 0.500 0.000 0.000
9 Nb 0.089 0.179 0.250
10 C 0.868 0.736 0.940
11 C 0.868 0.736 0.560
12 C 0.132 0.264 0.060
13 C 0.132 0.264 0.440
14 Nb 0.500 0.000 0.500

## Properties
For the energy, the calculation gives -0.33986 Ha/atom. The density of states at the Fermi level comes out at 5.60 states/eV/cell. The formation energy comes out at -0.390 eV per atom.


(2)
AsIrAuC2: optimized geometry, PBE.

a = 2.805 Å, b = 4.367 Å, c = 6.596 Å
α = 100.11°, β = 102.51°, γ = 90.01°
Sites, in units of the cell vectors:
1 C 0.038 0.558 0.640
2 As 0.325 0.076 0.218
3 C 0.032 0.856 0.629
4 Au 0.219 0.508 0.001
5 Ir 0.520 0.195 0.605

## Properties
For the energy, the calculation gives -0.23871 Ha/atom. The density of states at the Fermi level comes out at 1.61 states/eV/cell. The formation energy comes out at 0.551 eV per atom.


(3)
Ca2SnSbF: optimized geometry, PBE.

a = 6.035 Å, b = 5.551 Å, c = 6.035 Å
α = 90.00°, β = 90.00°, γ = 90.00°
Sites, in units of the cell vectors:
1 F 0.500 0.500 0.500
2 Ca 0.500 0.000 0.000
3 Ca 0.000 0.000 0.500
4 Sb 0.000 0.500 0.000
5 Sn 0.000 0.000 0.000

## Properties
The value obtained for the raw formation energy is -418.5 meV per atom. For the energy, the calculation gives -0.11828 Ha/atom. The density of states at the Fermi level comes out at 3.98 states/eV/cell.